Entry 1:
# Pm2Tl3SbTe6

Pm2Tl3SbTe6 after structural relaxation (GGA-PBE, Alexandria).

Lattice parameters (Å, degrees): 7.858 13.621 8.517 90.00 107.94 90.00
Space group C2/m (No. 12)
Symmetry-distinct sites (fractional):
Pm (0.000, 0.166, 0.000)
Tl (0.000, 0.000, 0.500)
Tl (0.000, 0.329, 0.500)
Sb (0.000, 0.500, 0.000)
Te (0.234, 0.337, 0.215)
Te (0.247, 0.000, 0.219)

Output
DFT total energy, eV/atom: -4.082
Raw formation energy, eV/atom: -0.784
Crystal system: monoclinic

***

Entry 2:
# DyPaFe10

DyPaFe10 after structural relaxation (GGA-PBE, Alexandria).

Lattice parameters (Å, degrees): 3.999 4.970 8.579 90.00 90.00 90.00
Space group Pmmm (No. 47)
Symmetry-distinct sites (fractional):
Dy (0.000, 0.000, 0.000)
Pa (0.000, 0.500, 0.500)
Fe (0.000, 0.000, 0.337)
Fe (0.000, 0.500, 0.170)
Fe (0.500, 0.000, 0.500)
Fe (0.500, 0.250, 0.250)
Fe (0.500, 0.500, 0.000)

Output
DFT total energy, eV/atom: -8.285
ΔE_f, eV per formula unit: -0.7
Crystal system: orthorhombic
Fermi-level density of states, states/eV/cell: 12.52

***

Entry 3:
# Lu2TcTe

Lu2TcTe after structural relaxation (GGA-PBE, Alexandria).

Lattice parameters (Å, degrees): 3.633 3.633 6.802 90.00 90.00 90.00
Space group P4/mmm (No. 123)
Symmetry-distinct sites (fractional):
Lu (0.000, 0.000, 0.226)
Tc (0.500, 0.500, 0.000)
Te (0.500, 0.500, 0.500)

Output
DFT total energy, eV/atom: -6.164
Raw formation energy, eV/atom: -0.527
Crystal system: tetragonal
Fermi-level density of states, states/eV/cell: 3.21

***

Entry 4:
# KAc2Sb

KAc2Sb after structural relaxation (GGA-PBE, Alexandria).

Lattice parameters (Å, degrees): 5.489 5.489 4.985 90.00 90.00 90.00
Space group P4/mmm (No. 123)
Symmetry-distinct sites (fractional):
K (0.000, 0.000, 0.000)
Ac (0.000, 0.500, 0.500)
Sb (0.500, 0.500, 0.000)

Output
DFT total energy, eV/atom: -3.596
Raw formation energy, eV/atom: -0.237
Crystal system: tetragonal
Energy above the lowest structure with this stoichiometry, eV/atom: 0.080
Fermi-level density of states, states/eV/cell: 3.34

***

Entry 5:
# HfPb3Se

HfPb3Se after structural relaxation (GGA-PBE, Alexandria).

Lattice parameters (Å, degrees): 5.552 5.552 5.552 90.00 90.00 90.00
Space group Pm-3m (No. 221)
Symmetry-distinct sites (fractional):
Hf (0.000, 0.000, 0.000)
Pb (0.000, 0.500, 0.500)
Se (0.500, 0.500, 0.500)

Output
DFT total energy, eV/atom: -4.125
Raw formation energy, eV/atom: 0.787
Crystal system: cubic
Energy above the lowest structure with this stoichiometry, eV/atom: 0.250
Fermi-level density of states, states/eV/cell: 5.43

***

Entry 6:
# Tm4GeBi

Tm4GeBi after structural relaxation (GGA-PBE, Alexandria).

Lattice parameters (Å, degrees): 5.915 8.591 7.746 90.00 109.40 90.00
Space group P2_1/m (No. 11)
Symmetry-distinct sites (fractional):
Tm (0.040, 0.049, 0.233)
Tm (0.423, 0.250, 0.006)
Tm (0.426, 0.750, 0.478)
Ge (0.127, 0.750, 0.071)
Bi (0.106, 0.250, 0.586)

Output
DFT total energy, eV/atom: -4.654
ΔE_f, eV per formula unit: -1.5
Crystal system: monoclinic
Fermi-level density of states, states/eV/cell: 16.01

***

Entry 7:
# BaYRe2

BaYRe2 after structural relaxation (GGA-PBE, Alexandria).

Lattice parameters (Å, degrees): 3.377 4.884 5.148 90.00 90.00 90.00
Space group Pmmm (No. 47)
Symmetry-distinct sites (fractional):
Ba (0.000, 0.000, 0.000)
Y (0.500, 0.500, 0.000)
Re (0.000, 0.500, 0.500)
Re (0.500, 0.000, 0.500)

Output
DFT total energy, eV/atom: -7.047
ΔE_f, eV per formula unit: 5.1
Crystal system: orthorhombic
Energy above the lowest structure with this stoichiometry, eV/atom: 1.004
Fermi-level density of states, states/eV/cell: 6.02

***

Entry 8:
# Te4As2Br

Te4As2Br after structural relaxation (GGA-PBE, Alexandria).

Lattice parameters (Å, degrees): 7.933 8.344 9.787 71.08 74.17 63.76
Space group P1 (No. 1)
Symmetry-distinct sites (fractional):
Te (0.000, 0.000, 0.000)
Te (0.019, 0.534, 0.949)
Te (0.132, 0.968, 0.372)
Te (0.180, 0.433, 0.377)
Te (0.535, 0.513, 0.030)
Te (0.602, 0.086, 0.347)
Te (0.661, 0.106, 0.870)
Te (0.782, 0.513, 0.412)
As (0.024, 0.191, 0.543)
As (0.363, 0.276, 0.143)
As (0.780, 0.807, 0.080)
As (0.825, 0.259, 0.173)
Br (0.076, 0.732, 0.666)
Br (0.343, 0.139, 0.781)

Output
DFT total energy, eV/atom: -3.340
Raw formation energy, eV/atom: 0.023
Crystal system: triclinic

***

Entry 9:
# DyTm8Sn6

DyTm8Sn6 after structural relaxation (GGA-PBE, Alexandria).

Lattice parameters (Å, degrees): 8.9134 8.9134 19.3210 90.00 90.00 120.00
Space group R-3 (No. 148, hexagonal axes)
Symmetry-distinct sites (fractional):
Dy (0.0000, 0.0000, 0.0000)
Tm (0.0000, 0.0000, 0.3334)
Tm (0.9996, 0.3332, 0.2268)
Sn (0.0001, 0.3347, 0.0674)

Output
DFT total energy, eV/atom: -4.793
ΔE_f, eV per formula unit: -7.5
Crystal system: trigonal
Fermi-level density of states, states/eV/cell: 25.82

***

Entry 10:
# CsU6Se8

CsU6Se8 after structural relaxation (GGA-PBE, Alexandria).

Lattice parameters (Å, degrees): 11.5022 11.5022 12.6442 90.00 90.00 120.00
Space group R-3 (No. 148, hexagonal axes)
Symmetry-distinct sites (fractional):
Cs (0.0000, 0.0000, 0.0000)
U (0.0459, 0.1946, 0.4387)
Se (0.0000, 0.0000, 0.2858)
Se (0.0008, 0.3239, 0.6165)

Output
DFT total energy, eV/atom: -7.350
Raw formation energy, eV/atom: -0.920
Crystal system: trigonal
Fermi-level density of states, states/eV/cell: 47.58

***

Entry 11:
# ZnCo2Re

ZnCo2Re after structural relaxation (GGA-PBE, Alexandria).

Lattice parameters (Å, degrees): 3.565 3.565 7.705 90.00 90.00 90.00
Space group I-4m2 (No. 119)
Symmetry-distinct sites (fractional):
Zn (0.000, 0.000, 0.000)
Co (0.000, 0.000, 0.500)
Co (0.000, 0.500, 0.750)
Re (0.000, 0.500, 0.250)

Output
DFT total energy, eV/atom: -6.796
ΔE_f, eV per formula unit: 0.8
Crystal system: tetragonal
Fermi-level density of states, states/eV/cell: 8.64

***

Entry 12:
# CaPmPr2Sb4

CaPmPr2Sb4 after structural relaxation (GGA-PBE, Alexandria).

Lattice parameters (Å, degrees): 7.848 4.534 7.885 90.00 109.46 90.00
Space group P2/m (No. 10)
Symmetry-distinct sites (fractional):
Ca (0.000, 0.000, 0.000)
Pm (0.000, 0.500, 0.500)
Pr (0.500, 0.000, 0.500)
Pr (0.500, 0.500, 0.000)
Sb (0.247, 0.000, 0.748)
Sb (0.248, 0.500, 0.251)

Output
DFT total energy, eV/atom: -5.168
Raw formation energy, eV/atom: -1.068
Crystal system: monoclinic
Fermi-level density of states, states/eV/cell: 4.59

***

> The highest DFT total energy belongs to which entry?

Te4As2Br

***

Please write out number 10 again, unchanged.
# CsU6Se8

CsU6Se8 after structural relaxation (GGA-PBE, Alexandria).

Lattice parameters (Å, degrees): 11.5022 11.5022 12.6442 90.00 90.00 120.00
Space group R-3 (No. 148, hexagonal axes)
Symmetry-distinct sites (fractional):
Cs (0.0000, 0.0000, 0.0000)
U (0.0459, 0.1946, 0.4387)
Se (0.0000, 0.0000, 0.2858)
Se (0.0008, 0.3239, 0.6165)

Output
DFT total energy, eV/atom: -7.350
Raw formation energy, eV/atom: -0.920
Crystal system: trigonal
Fermi-level density of states, states/eV/cell: 47.58

***

> Which value of DFT total energy does entry 10 give?

-7.350 eV/atom

***

> Among the records above, which one has the lowest DFT total energy?

DyPaFe10